Record 1
Density functional theory data (GGA-PBE) for K2RbPbO4 after structural relaxation.

The magnetic moment is 4.061 Bohr magnetons per cell. For the density of states at the Fermi level, the calculation gives 25.664 states/eV per cell. The value obtained for the calculated volume is 19.42 Å³ per atom. For the total DFT energy (no corrections), the calculation gives -4.3596 eV per atom.

The structure belongs to space group Imma (No. 74); the cell edges are 7.1470, 7.4232 and 11.7126 Å and the angles 90.00°, 90.00° and 90.00°. The distinct sites, in fractional coordinates, are K at (0.0000, 0.0000, 0.0000), K at (0.2500, 0.2500, 0.2500), Rb at (0.0000, 0.0000, 0.5000), Pb at (0.2500, 0.2500, 0.7500), O at (0.0000, 0.0406, 0.7511) and O at (0.2406, 0.2500, 0.9329).

***

Record 2
Density functional theory data (GGA-PBE) for KRbPbO2 after structural relaxation.

The magnetic moment is 0.000 Bohr magnetons per cell. The value obtained for the calculated volume is 24.63 Å³ per atom. For the total DFT energy (no corrections), the calculation gives -4.2628 eV per atom.

The structure belongs to space group C2/m (No. 12); the cell edges are 12.2408, 5.2399 and 8.2629 Å and the angles 90.00°, 111.62° and 90.00°. The distinct sites, in fractional coordinates, are K at (0.1564, 0.0000, 0.0539), Rb at (0.1526, 0.0000, 0.6103), Pb at (0.0162, 0.5000, 0.2123), O at (0.0256, 0.0000, 0.2543) and O at (0.1319, 0.5000, 0.0533).

***

Record 3
Density functional theory data (GGA-PBE) for K2RbPb3O8 after structural relaxation.

The magnetic moment is 3.097 Bohr magnetons per cell. For the density of states at the Fermi level, the calculation gives 17.355 states/eV per cell. The value obtained for the calculated volume is 19.28 Å³ per atom. For the total DFT energy (no corrections), the calculation gives -4.8774 eV per atom.

The structure belongs to space group R3m (No. 160, hexagonal axes); the cell edges are 6.8712, 6.8712 and 19.8030 Å and the angles 90.00°, 90.00° and 120.00°. The distinct sites, in fractional coordinates, are K at (0.0000, 0.0000, 0.0000), K at (0.0000, 0.0000, 0.3723), Rb at (0.0000, 0.0000, 0.7414), Pb at (0.0009, 0.5004, 0.8734), O at (0.0000, 0.0000, 0.1442), O at (0.0000, 0.0000, 0.6006), O at (0.0433, 0.5217, 0.1475) and O at (0.1851, 0.3701, 0.9317).

***

Record 4
Density functional theory data (GGA-PBE) for KRbPbO3 after structural relaxation.

The magnetic moment is 0.295 Bohr magnetons per cell. The value obtained for the calculated volume is 20.88 Å³ per atom. For the total DFT energy (no corrections), the calculation gives -4.6761 eV per atom.

The structure belongs to space group C2/c (No. 15); the cell edges are 6.5212, 12.8834 and 6.0817 Å and the angles 90.00°, 101.23° and 90.00°. The distinct sites, in fractional coordinates, are K at (0.0000, 0.0830, 0.2500), Rb at (0.0000, 0.2550, 0.7500), Pb at (0.0000, 0.4433, 0.2500), O at (0.0000, 0.2829, 0.2500) and O at (0.2061, 0.4603, 0.9901).

***

Record 5
Density functional theory data (GGA-PBE) for K2RePb2O6 after structural relaxation.

The magnetic moment is 2.038 Bohr magnetons per cell. For the density of states at the Fermi level, the calculation gives 3.270 states/eV per cell. The value obtained for the calculated volume is 18.49 Å³ per atom. For the total DFT energy (no corrections), the calculation gives -6.1218 eV per atom.

The structure belongs to space group C2/m (No. 12); the cell edges are 6.4471, 10.1278 and 6.5106 Å and the angles 90.00°, 106.90° and 90.00°. The distinct sites, in fractional coordinates, are K at (0.0000, 0.1750, 0.0000), Re at (0.0000, 0.0000, 0.5000), Pb at (0.0000, 0.3355, 0.5000), O at (0.1718, 0.0000, 0.3091) and O at (0.1871, 0.1447, 0.6717).

***

Record 6
Density functional theory data (GGA-PBE) for K3Re2PbO9 after structural relaxation.

The magnetic moment is 0.000 Bohr magnetons per cell. For the density of states at the Fermi level, the calculation gives 5.508 states/eV per cell. The value obtained for the calculated volume is 15.06 Å³ per atom. For the total DFT energy (no corrections), the calculation gives -6.7072 eV per atom.

The structure belongs to space group P-3m1 (No. 164); the cell edges are 5.8127, 5.8127 and 7.7198 Å and the angles 90.00°, 90.00° and 120.00°. The distinct sites, in fractional coordinates, are K at (0.0000, 0.0000, 0.0000), K at (0.3333, 0.6667, 0.6988), Re at (0.3333, 0.6667, 0.1519), Pb at (0.0000, 0.0000, 0.5000), O at (0.0000, 0.5000, 0.0000) and O at (0.1804, 0.3609, 0.2820).